# TlCdHgPb2 GGA-PBE relaxed
data_TlCdHgPb2
_chemical_formula_sum 'Tl4 Cd4 Hg4 Pb8'
_cell_length_a 6.7225
_cell_length_b 13.9353
_cell_length_c 6.6912
_cell_angle_alpha 90.00
_cell_angle_beta 90.00
_cell_angle_gamma 90.00
_symmetry_space_group_name_H-M 'C m c m'
_symmetry_Int_Tables_number 63
_symmetry_space_group_name_Hall '-C 2c 2'
loop_
_atom_site_label
_atom_site_type_symbol
_atom_site_fract_x
_atom_site_fract_y
_atom_site_fract_z
Tl1 Tl 0.0000 0.2462 0.2500
Cd1 Cd 0.0000 0.1458 0.7500
Hg1 Hg 0.0000 0.3445 0.7500
Pb1 Pb 0.2463 0.5000 0.0000
# Formation energy in kJ/mol of atoms: 6.7